This record from Alexandria via LeMat-Bulk describes an optimized crystal structure of TiVSbF2. The functional is PBE with a Hubbard U.

The structure in CIF format:
```
data_TiVSbF2
_chemical_formula_sum 'Ti1 V1 Sb1 F2'
_space_group_name_H-M_alt 'P 4/m m m'
_space_group_IT_number 123
_space_group_name_Hall '-P 4 2'
_cell_length_a 3.997
_cell_length_b 3.997
_cell_length_c 6.143
_cell_angle_alpha 90.00
_cell_angle_beta 90.00
_cell_angle_gamma 90.00
loop_
_atom_site_label
_atom_site_type_symbol
_atom_site_fract_x
_atom_site_fract_y
_atom_site_fract_z
Ti1 Ti 0.000 0.000 0.000
V1 V 0.500 0.500 0.500
Sb1 Sb 0.500 0.500 0.000
F1 F 0.000 0.500 0.500
```

Values from the calculation:
The density of states at the Fermi level comes out at 3.64 states/eV per cell. The total energy is -5.91 eV/atom.